Material: Nd2Hf2O5
Method: DFT, PBE
State: optimized geometry

Cell lengths 4.117, 4.117, 7.413 Å; angles 90.00, 90.00, 90.00 degrees
Space group P4/mmm (No. 123)
Unique sites:
Nd 0.000 0.000 0.000
Nd 0.000 0.000 0.500
Hf 0.500 0.500 0.219
O 0.000 0.500 0.253
O 0.500 0.500 0.500

Output
Excess energy over the best structure of this formula in the dataset, meV/atom: 0
Volume, Å³ per cell: 126
Magnetic moment, μB/f.u.: 0.01

Material: CsNbCu2Te4
Method: DFT, PBE
State: optimized geometry

Cell lengths 8.291, 20.777, 6.055 Å; angles 90.00, 90.00, 90.00 degrees
Space group Pna2_1 (No. 33)
Unique sites:
Cs 0.202 0.062 0.000
Nb 0.203 0.354 0.755
Cu 0.039 0.753 0.246
Cu 0.205 0.354 0.255
Te 0.035 0.858 0.003
Te 0.055 0.650 0.001
Te 0.189 0.457 0.007
Te 0.211 0.250 0.013

Output
Volume, Å³ per cell: 1043
Magnetic moment, μB/f.u.: 0.00
Total energy, eV/atom: -4.368

Material: TmHfSnC
Method: DFT, PBE
State: optimized geometry

Cell lengths 3.4275, 3.4275, 15.0296 Å; angles 90.00, 90.00, 120.00 degrees
Space group P-6m2 (No. 187)
Unique sites:
Tm 0.0000 0.0000 0.1708
Hf 0.6667 0.3333 0.3400
Sn 0.0000 0.0000 0.5000
Sn 0.6667 0.3333 0.0000
C 0.3333 0.6667 0.2650

Output
Excess energy over the best structure of this formula in the dataset, meV/atom: 8
Volume, Å³ per cell: 153
Magnetic moment, μB/f.u.: 0.00

Material: RbErP2Se7
Method: DFT, PBE
State: optimized geometry

Cell lengths 9.474, 10.792, 6.912 Å; angles 90.00, 99.56, 90.00 degrees
Space group C2 (No. 5)
Unique sites:
Rb 0.000 0.000 0.000
Er 0.000 0.602 0.500
P 0.197 0.250 0.592
Se 0.000 0.120 0.500
Se 0.140 0.413 0.756
Se 0.168 0.627 0.199
Se 0.208 0.778 0.675

Output
Volume, Å³ per cell: 697
Magnetic moment, μB/f.u.: 0.00
Total energy, eV/atom: -4.393